10
Lattice="-3.142 2.450 -0.112 -2.440 -3.141 -0.259 -1.190 -0.651 19.091" Properties=species:S:1:pos:R:3 comment="KNa4Tl5 PBE-GGA relaxed" space_group="No. 123" delta_e_f_kcal_per_mol_atoms=-1.87 pbc="T T T"
K 0.000 0.000 0.000
Na -0.261 -0.143 4.186
Na -0.483 -0.264 7.743
Na -0.707 -0.387 11.348
Na -0.929 -0.509 14.904
Tl -2.945 -0.430 2.290
Tl -3.162 -0.549 5.771
Tl -3.386 -0.672 9.360
Tl -3.610 -0.794 12.949
Tl -3.827 -0.913 16.429

---

8
Lattice="-3.101 -1.915 -4.028 3.344 4.548 -4.737 2.447 -10.332 6.692" Properties=species:S:1:pos:R:3 comment="K3NaTl4 PBE-GGA relaxed" space_group="No. 12" delta_e_f_kcal_per_mol_atoms=-1.61 pbc="T T T"
Na -1.294 0.442 -6.221
K -0.509 -3.755 -1.167
K -2.965 -1.832 -3.852
K 3.468 -3.778 -0.554
Tl -0.785 -7.382 0.772
Tl 3.746 -0.150 -2.492
Tl 0.404 -0.547 -3.394
Tl 2.556 -6.985 1.674

---

20
Lattice="7.373 0.000 -1.517 -3.799 11.521 -6.009 0.224 0.000 13.536" Properties=species:S:1:pos:R:3 comment="K12Na7Tl PBE-GGA relaxed" space_group="No. 148" delta_e_f_kcal_per_mol_atoms=0.52 pbc="T T T"
K -1.296 6.530 -1.200
K -0.054 2.021 7.087
K 1.483 7.812 -4.721
K 3.443 0.160 3.759
K 2.002 4.509 4.629
K -1.427 7.652 4.993
K 5.226 3.870 1.016
K 1.797 7.013 1.381
K 0.356 11.361 2.251
K 2.316 3.709 10.730
K 3.853 9.500 -1.077
K 5.094 4.991 7.209
Na -2.320 9.092 -4.563
Na 6.837 0.270 1.616
Na 2.415 8.822 5.022
Na 3.687 0.000 -0.759
Na 1.384 2.699 0.988
Na -3.039 11.251 4.394
Na 6.119 2.429 10.573
Tl 0.000 0.000 0.000

---

9
Lattice="-2.270 -2.249 2.847 -3.410 -6.312 -4.490 5.422 -5.775 2.979" Properties=species:S:1:pos:R:3 comment="KNa4Tl4 PBE-GGA relaxed" space_group="No. 139" delta_e_f_kcal_per_mol_atoms=-1.97 pbc="T T T"
K 0.000 0.000 0.000
Na -0.580 -6.140 -2.097
Na 0.322 -8.196 3.433
Na -0.898 -5.401 1.450
Na 0.640 -8.934 -0.114
Tl -1.938 -2.955 -0.663
Tl 1.680 -11.381 1.999
Tl 1.974 -5.259 3.854
Tl -2.232 -9.077 -2.518

---

19
Lattice="8.660 0.006 0.006 1.130 8.586 0.006 1.130 0.992 8.529" Properties=species:S:1:pos:R:3 comment="K2Na2Tl15 PBE-GGA relaxed" space_group="No. 166" delta_e_f_kcal_per_mol_atoms=-0.82 pbc="T T T"
K 3.788 3.324 2.962
K 7.132 6.260 5.578
Na 1.143 1.004 0.894
Na 9.776 8.580 7.646
Tl 4.330 0.003 0.003
Tl 0.565 0.496 4.264
Tl 0.565 4.293 0.003
Tl 1.130 6.365 2.499
Tl 6.457 2.516 0.006
Tl 3.332 0.703 6.036
Tl 3.332 6.076 0.006
Tl 6.457 0.294 2.499
Tl 1.130 3.213 6.036
Tl 2.720 6.137 5.468
Tl 6.438 5.650 1.261
Tl 6.438 1.901 5.468
Tl 8.199 3.447 3.072
Tl 4.482 3.933 7.279
Tl 4.482 7.683 3.072

---

8
Lattice="-6.341 -3.224 1.678 4.445 2.276 5.254 -1.823 5.741 4.140" Properties=species:S:1:pos:R:3 comment="KNa5Tl2 PBE-GGA relaxed" space_group="No. 139" delta_e_f_kcal_per_mol_atoms=-0.84 pbc="T T T"
K -2.867 0.032 5.145
Na -1.920 0.507 1.678
Na -2.832 3.377 3.748
Na -5.091 -1.105 2.516
Na -6.002 1.765 4.586
Na -0.609 4.515 6.374
Tl 0.303 1.644 4.305
Tl -3.779 2.902 7.214

---

The mass density results, record by record, are as follows: 6.3, 5.2, 1.2, 5.5, 8.4, 3.4 g/cm³.
The calculated total energy results, record by record, are as follows: -0.1398, -0.1345, -0.0894, -0.1356, -0.1586, -0.1168 Ry per atom.